(1)
Material: LiB2Pt
Method: DFT, SCAN
State: single point on PBEsol structure

```
4
Lattice="-3.1384 2.0004 0.0931 -3.0039 -1.1616 -1.8675 -2.9661 -1.2755 1.8535" Properties=species:S:1:pos:R:3 pbc="T T T"
Li 0.0000 0.0000 0.0000
B -2.2771 -0.1092 0.0198
B -6.8313 -0.3275 0.0593
Pt -4.5542 -0.2183 0.0395
```

Energy relative to the elements ... 0.06 eV per atom

=====

(2)
Material: ScGeSbTe2
Method: DFT, SCAN
State: single point on PBEsol structure

```
5
Lattice="5.1551 0.0000 0.0000 0.0000 5.3071 0.0000 0.0000 0.0000 5.3071" Properties=species:S:1:pos:R:3 pbc="T T T"
Te 0.0000 2.6536 0.0000
Te 0.0000 0.0000 2.6536
Ge 0.0000 0.0000 0.0000
Sc 2.5776 2.6536 2.6536
Sb 2.5776 0.0000 0.0000
```

ΔE_f (raw) ... 0.28 eV per atom

=====

(3)
Material: SrMgW2
Method: DFT, SCAN
State: single point on PBEsol structure

```
4
Lattice="3.3579 0.0000 0.0000 0.0000 5.3205 0.0000 -1.6789 -2.6603 5.0359" Properties=species:S:1:pos:R:3 pbc="T T T"
W 0.0000 2.6603 2.8875
W 1.6789 2.6603 4.6153
Mg 1.6789 2.6603 0.2092
Sr 1.6789 0.0000 2.3598
```

Energy relative to the elements ... 0.95 eV per atom

=====

(4)
Material: BaLi4O3
Method: DFT, SCAN
State: single point on PBEsol structure

```
32
Lattice="5.3818 -0.0204 0.0000 -2.3333 4.8497 0.0000 0.0000 0.0000 13.1845" Properties=species:S:1:pos:R:3 pbc="T T T"
Li 1.4896 4.6001 0.0010
Li 1.5589 0.2292 13.1835
Li 2.9937 1.4870 8.7424
Li 3.9087 0.9094 11.0392
Li 2.9973 1.4848 4.4469
Li 0.0512 3.3445 8.7376
Li 3.0831 2.6438 6.5933
Li 1.0606 3.9205 6.5912
Li 3.5121 3.3234 13.1835
Li -0.4636 1.5059 0.0010
Li 1.9879 0.9088 6.5933
Li -0.8603 3.9198 2.1453
Li 0.0547 3.3423 4.4421
Li -0.0346 2.1855 6.5912
Li -0.8638 3.9221 11.0343
Li 3.9122 0.9072 2.1502
Ba 1.5220 2.4160 11.0243
Ba 1.5264 2.4132 2.1602
Ba -2.3311 4.8483 4.4321
Ba 5.3795 -0.0190 8.7524
O 0.3580 4.8392 3.2961
O 2.9717 1.5010 13.1813
O -0.8859 3.9360 6.5954
O 2.6904 -0.0099 9.8884
O 3.9343 0.8933 6.5891
O 1.5239 2.4148 7.9733
O 0.0768 3.3283 0.0032
O 5.3815 -0.0202 11.8035
O 4.2146 2.4047 9.8884
O -1.1662 2.4245 3.2961
O 1.5245 2.4145 5.2112
O -2.3331 4.8495 1.3810
```

ΔE_f (raw) ... -2.12 eV per atom

=====

(5)
Material: InAg2Pt
Method: DFT, SCAN
State: single point on PBEsol structure

```
4
Lattice="-3.1647 -0.2505 3.2922 1.0792 -1.7621 4.0801 0.2900 2.7234 3.6628" Properties=species:S:1:pos:R:3 pbc="T T T"
Ag -1.3466 0.5331 8.2763
Ag 0.0000 0.0000 0.0000
In -0.8978 0.3554 5.5175
Pt -0.4489 0.1777 2.7588
```

Energy relative to the elements ... -0.19 eV per atom

=====

(6)
Material: Ag3As
Method: DFT, SCAN
State: single point on PBEsol structure

```
4
Lattice="-2.0729 -1.0652 -1.6896 -0.3113 -2.2330 1.7898 -5.6772 4.2345 4.2955" Properties=species:S:1:pos:R:3 pbc="T T T"
Ag -1.4451 1.0779 1.0934
Ag -4.2321 3.1566 3.2021
Ag -4.0307 0.4681 2.1979
As -1.1921 -1.6491 0.0501
```

Energy relative to the elements ... 0.10 eV per atom

=====

(7)
Material: MnCd2As
Method: DFT, SCAN
State: single point on PBEsol structure

```
4
Lattice="-0.1691 -2.0858 -1.8198 -0.4835 -2.4415 2.8433 -6.4311 3.1514 -0.9012" Properties=species:S:1:pos:R:3 pbc="T T T"
As -0.0846 -1.0429 -0.9099
Cd -4.3155 0.5672 -0.2491
Cd -2.7683 -1.9432 0.3713
Mn -0.2418 -1.2208 1.4217
```

Energy relative to the elements ... 0.02 eV per atom

=====

Ordered VASP energy results: -21.80; -28.73; -40.70; -10.59; -41.77; -28.48; -24.80; unit eV/atom.